# Co2NiAg | Alexandria | PBEsol | relaxed
data_Co2NiAg
_symmetry_space_group_name_H-M 'P 1'
_symmetry_Int_Tables_number 1
_cell_length_a 2.577
_cell_length_b 4.454
_cell_length_c 4.448
_cell_angle_alpha 100.39
_cell_angle_beta 106.84
_cell_angle_gamma 90.00
loop_
_symmetry_equiv_pos_as_xyz
'x,y,z'
loop_
_atom_site_label
_atom_site_fract_x
_atom_site_fract_y
_atom_site_fract_z
_atom_site_occupancy
Ni1 0.500 0.000 0.000 1
Co1 0.242 0.224 0.484 1
Co2 0.758 0.776 0.516 1
Ag1 0.000 0.500 0.000 1
# **Formation energy from the elements**: 0.297 eV/atom
# **Energy relative to the lowest polymorph listed for this composition**: 0.098 eV/atom
# **Space-group type**: C2/m (12)



# Co2NiAg | Alexandria | PBEsol | relaxed
data_Co2NiAg
_symmetry_space_group_name_H-M 'P 1'
_symmetry_Int_Tables_number 1
_cell_length_a 2.552
_cell_length_b 4.503
_cell_length_c 4.503
_cell_angle_alpha 111.71
_cell_angle_beta 90.00
_cell_angle_gamma 90.00
loop_
_symmetry_equiv_pos_as_xyz
'x,y,z'
loop_
_atom_site_label
_atom_site_fract_x
_atom_site_fract_y
_atom_site_fract_z
_atom_site_occupancy
Ni1 0.500 0.500 0.500 1
Co1 0.000 0.000 0.500 1
Co2 0.000 0.500 0.000 1
Ag1 0.500 0.000 0.000 1
# **Formation energy from the elements**: 0.349 eV/atom
# **Energy relative to the lowest polymorph listed for this composition**: 0.150 eV/atom
# **Space-group type**: Cmmm (65)



# CoNiAg2 | Alexandria | PBEsol | relaxed
data_CoNiAg2
_symmetry_space_group_name_H-M 'P 1'
_symmetry_Int_Tables_number 1
_cell_length_a 3.780
_cell_length_b 3.780
_cell_length_c 4.636
_cell_angle_alpha 114.06
_cell_angle_beta 114.06
_cell_angle_gamma 90.00
loop_
_symmetry_equiv_pos_as_xyz
'x,y,z'
loop_
_atom_site_label
_atom_site_fract_x
_atom_site_fract_y
_atom_site_fract_z
_atom_site_occupancy
Ni1 0.250 0.750 0.500 1
Co1 0.500 0.500 0.000 1
Ag1 0.000 0.000 0.000 1
Ag2 0.750 0.250 0.500 1
# **Formation energy from the elements**: 0.381 eV/atom
# **Energy relative to the lowest polymorph listed for this composition**: 0.034 eV/atom
# **Space-group type**: I-4m2 (119)



# CoNiAg2 | Alexandria | PBEsol | relaxed
data_CoNiAg2
_symmetry_space_group_name_H-M 'P 1'
_symmetry_Int_Tables_number 1
_cell_length_a 2.671
_cell_length_b 4.630
_cell_length_c 4.669
_cell_angle_alpha 99.37
_cell_angle_beta 90.00
_cell_angle_gamma 106.77
loop_
_symmetry_equiv_pos_as_xyz
'x,y,z'
loop_
_atom_site_label
_atom_site_fract_x
_atom_site_fract_y
_atom_site_fract_z
_atom_site_occupancy
Ni1 0.000 0.000 0.500 1
Co1 0.500 0.000 0.000 1
Ag1 0.749 0.499 0.750 1
Ag2 0.251 0.501 0.250 1
# **Formation energy from the elements**: 0.375 eV/atom
# **Energy relative to the lowest polymorph listed for this composition**: 0.028 eV/atom
# **Space-group type**: C2/m (12)



# CoNiAg2Sb | Alexandria | PBEsol | relaxed
data_CoNiAg2Sb
_symmetry_space_group_name_H-M 'P 1'
_symmetry_Int_Tables_number 1
_cell_length_a 4.522
_cell_length_b 4.702
_cell_length_c 4.702
_cell_angle_alpha 90.00
_cell_angle_beta 90.00
_cell_angle_gamma 90.00
loop_
_symmetry_equiv_pos_as_xyz
'x,y,z'
loop_
_atom_site_label
_atom_site_fract_x
_atom_site_fract_y
_atom_site_fract_z
_atom_site_occupancy
Sb1 0.500 0.000 0.000 1
Co1 0.500 0.500 0.500 1
Ag1 0.000 0.000 0.500 1
Ag2 0.000 0.500 0.000 1
Ni1 0.000 0.000 0.000 1
# **Formation energy (no corrections)**: 0.948 eV/atom
# **Space-group type**: P4/mmm (123)



# CoAgO3 | Alexandria | PBEsol | relaxed
data_CoAgO3
_symmetry_space_group_name_H-M 'P 1'
_symmetry_Int_Tables_number 1
_cell_length_a 4.916
_cell_length_b 4.919
_cell_length_c 5.747
_cell_angle_alpha 64.85
_cell_angle_beta 89.98
_cell_angle_gamma 60.02
loop_
_symmetry_equiv_pos_as_xyz
'x,y,z'
loop_
_atom_site_label
_atom_site_fract_x
_atom_site_fract_y
_atom_site_fract_z
_atom_site_occupancy
Co1 0.837 0.325 0.512 1
Co2 0.163 0.675 0.488 1
Ag1 0.637 0.728 0.910 1
Ag2 0.363 0.272 0.090 1
O1 0.560 0.480 0.707 1
O2 0.814 0.745 0.293 1
O3 0.040 0.146 0.293 1
O4 0.960 0.854 0.707 1
O5 0.186 0.255 0.707 1
O6 0.440 0.520 0.293 1
# **Formation energy (no corrections)**: -0.580 eV/atom
# **Space-group type**: P-1 (2)



# CoAgO2 | Alexandria | PBEsol | relaxed
data_CoAgO2
_symmetry_space_group_name_H-M 'P 1'
_symmetry_Int_Tables_number 1
_cell_length_a 2.843
_cell_length_b 2.843
_cell_length_c 24.445
_cell_angle_alpha 90.00
_cell_angle_beta 90.00
_cell_angle_gamma 120.00
loop_
_symmetry_equiv_pos_as_xyz
'x,y,z'
loop_
_atom_site_label
_atom_site_fract_x
_atom_site_fract_y
_atom_site_fract_z
_atom_site_occupancy
Co1 0.667 0.333 0.625 1
Co2 0.333 0.667 0.375 1
Co3 0.333 0.667 0.125 1
Co4 0.667 0.333 0.875 1
Ag1 0.000 0.000 0.500 1
Ag2 0.000 0.000 0.000 1
Ag3 0.333 0.667 0.750 1
Ag4 0.667 0.333 0.250 1
O1 0.000 0.000 0.586 1
O2 0.000 0.000 0.414 1
O3 0.000 0.000 0.086 1
O4 0.000 0.000 0.914 1
O5 0.333 0.667 0.664 1
O6 0.667 0.333 0.336 1
O7 0.667 0.333 0.164 1
O8 0.333 0.667 0.836 1
# **Formation energy (no corrections)**: -0.793 eV/atom
# **Space-group type**: P6_3/mmc (194)



# CoAgO3 | Alexandria | PBEsol | relaxed
data_CoAgO3
_symmetry_space_group_name_H-M 'P 1'
_symmetry_Int_Tables_number 1
_cell_length_a 3.692
_cell_length_b 3.692
_cell_length_c 3.692
_cell_angle_alpha 90.00
_cell_angle_beta 90.00
_cell_angle_gamma 90.00
loop_
_symmetry_equiv_pos_as_xyz
'x,y,z'
loop_
_atom_site_label
_atom_site_fract_x
_atom_site_fract_y
_atom_site_fract_z
_atom_site_occupancy
Co1 0.000 0.000 0.000 1
O1 0.000 0.500 0.000 1
O2 0.000 0.000 0.500 1
O3 0.500 0.000 0.000 1
Ag1 0.500 0.500 0.500 1
# **Formation energy (no corrections)**: -0.259 eV/atom
# **Space-group type**: Pm-3m (221)



# CoAgP2O | Alexandria | PBEsol | relaxed
data_CoAgP2O
_symmetry_space_group_name_H-M 'P 1'
_symmetry_Int_Tables_number 1
_cell_length_a 3.785
_cell_length_b 4.738
_cell_length_c 4.738
_cell_angle_alpha 90.00
_cell_angle_beta 90.00
_cell_angle_gamma 90.00
loop_
_symmetry_equiv_pos_as_xyz
'x,y,z'
loop_
_atom_site_label
_atom_site_fract_x
_atom_site_fract_y
_atom_site_fract_z
_atom_site_occupancy
P1 0.000 0.000 0.500 1
P2 0.000 0.500 0.000 1
Co1 0.500 0.500 0.500 1
O1 0.500 0.000 0.000 1
Ag1 0.000 0.000 0.000 1
# **Formation energy (no corrections)**: 1.281 eV/atom
# **Space-group type**: P4/mmm (123)



# Co2Ag3SbO6 | Alexandria | PBEsol | relaxed
data_Co2Ag3SbO6
_symmetry_space_group_name_H-M 'P 1'
_symmetry_Int_Tables_number 1
_cell_length_a 5.107
_cell_length_b 5.107
_cell_length_c 19.519
_cell_angle_alpha 90.00
_cell_angle_beta 90.00
_cell_angle_gamma 120.00
loop_
_symmetry_equiv_pos_as_xyz
'x,y,z'
loop_
_atom_site_label
_atom_site_fract_x
_atom_site_fract_y
_atom_site_fract_z
_atom_site_occupancy
Co1 0.890 0.780 0.667 1
Co2 0.890 0.110 0.333 1
Co3 0.220 0.110 0.000 1
Co4 0.223 0.447 0.667 1
Co5 0.223 0.777 0.333 1
Co6 0.553 0.777 0.000 1
Ag1 0.560 0.780 0.500 1
Ag2 0.220 0.440 0.167 1
Ag3 0.220 0.780 0.833 1
Ag4 0.891 0.446 0.500 1
Ag5 0.554 0.109 0.167 1
Ag6 0.554 0.446 0.833 1
Ag7 0.228 0.114 0.500 1
Ag8 0.886 0.772 0.167 1
Ag9 0.886 0.114 0.833 1
Sb1 0.557 0.113 0.667 1
Sb2 0.557 0.443 0.333 1
Sb3 0.887 0.443 0.000 1
O1 0.205 0.762 0.718 1
O2 0.557 0.795 0.384 1
O3 0.238 0.443 0.051 1
O4 0.205 0.443 0.282 1
O5 0.557 0.762 0.616 1
O6 0.238 0.795 0.949 1
O7 0.556 0.465 0.718 1
O8 0.909 0.444 0.384 1
O9 0.535 0.091 0.051 1
O10 0.556 0.091 0.282 1
O11 0.909 0.465 0.616 1
O12 0.535 0.444 0.949 1
O13 0.908 0.112 0.718 1
O14 0.204 0.092 0.384 1
O15 0.888 0.796 0.051 1
O16 0.908 0.796 0.282 1
O17 0.204 0.112 0.616 1
O18 0.888 0.092 0.949 1
# **Formation energy (no corrections)**: -0.746 eV/atom
# **Space-group type**: P3_112 (151)



# CoAg2Os2 | Alexandria | PBEsol | relaxed
data_CoAg2Os2
_symmetry_space_group_name_H-M 'P 1'
_symmetry_Int_Tables_number 1
_cell_length_a 3.456
_cell_length_b 3.456
_cell_length_c 7.087
_cell_angle_alpha 104.11
_cell_angle_beta 104.11
_cell_angle_gamma 90.00
loop_
_symmetry_equiv_pos_as_xyz
'x,y,z'
loop_
_atom_site_label
_atom_site_fract_x
_atom_site_fract_y
_atom_site_fract_z
_atom_site_occupancy
Co1 0.000 0.000 0.000 1
Os1 0.413 0.413 0.825 1
Os2 0.587 0.587 0.175 1
Ag1 0.250 0.750 0.500 1
Ag2 0.750 0.250 0.500 1
# **Formation energy from the elements**: 1.338 eV/atom
# **Space-group type**: I4/mmm (139)



# CoAgOs2 | Alexandria | PBEsol | relaxed
data_CoAgOs2
_symmetry_space_group_name_H-M 'P 1'
_symmetry_Int_Tables_number 1
_cell_length_a 2.663
_cell_length_b 4.363
_cell_length_c 5.441
_cell_angle_alpha 113.64
_cell_angle_beta 104.17
_cell_angle_gamma 90.00
loop_
_symmetry_equiv_pos_as_xyz
'x,y,z'
loop_
_atom_site_label
_atom_site_fract_x
_atom_site_fract_y
_atom_site_fract_z
_atom_site_occupancy
Co1 0.000 0.500 0.000 1
Os1 0.714 0.714 0.429 1
Os2 0.286 0.286 0.571 1
Ag1 0.500 0.000 0.000 1
# **Formation energy from the elements**: 0.477 eV/atom
# **Energy relative to the lowest polymorph listed for this composition**: 0.000 eV/atom
# **Space-group type**: Immm (71)



Computed total DFT energy (no corrections), in the same sequence as the records: -5.938; -5.886; -4.748; -4.754; -4.067; -5.940; -6.179; -5.618; -4.295; -5.867; -6.420; -8.393 eV/atom.